1.
Below is a PBEsol-optimized structure of BaBe13, with properties calculated at the SCAN level.

Cell: 7.460 7.460 7.460 Å, 60.00 60.00 60.00°
Sites, in units of the cell vectors:
Ba 0.250 0.250 0.250
Ba 0.750 0.750 0.750
Be 0.000 0.000 0.000
Be 0.066 0.283 0.717
Be 0.066 0.717 0.934
Be 0.066 0.934 0.283
Be 0.217 0.434 0.783
Be 0.217 0.566 0.434
Be 0.217 0.783 0.566
Be 0.283 0.066 0.934
Be 0.283 0.717 0.066
Be 0.283 0.934 0.717
Be 0.434 0.217 0.566
Be 0.434 0.566 0.783
Be 0.434 0.783 0.217
Be 0.500 0.500 0.500
Be 0.566 0.217 0.783
Be 0.566 0.434 0.217
Be 0.566 0.783 0.434
Be 0.717 0.066 0.283
Be 0.717 0.283 0.934
Be 0.717 0.934 0.066
Be 0.783 0.217 0.434
Be 0.783 0.434 0.566
Be 0.783 0.566 0.217
Be 0.934 0.066 0.717
Be 0.934 0.283 0.066
Be 0.934 0.717 0.283

## Properties
ΔH_f (0 K) = 0.052 eV/atom
DOS at the Fermi energy = 0.080 states/eV/atom
Magnetization = 0.000 μB/atom

2.
Below is a PBEsol-optimized structure of Cd2PtAu, with properties calculated at the SCAN level.

Cell: 4.023 4.023 8.581 Å, 90.00 90.00 90.00°
Sites, in units of the cell vectors:
Cd 0.000 0.000 0.000
Cd 0.000 0.500 0.250
Cd 0.500 0.000 0.750
Cd 0.500 0.500 0.500
Pt 0.000 0.000 0.500
Pt 0.500 0.500 0.000
Au 0.000 0.500 0.750
Au 0.500 0.000 0.250

## Properties
ΔH_f (0 K) = -0.252 eV/atom
DOS at the Fermi energy = 0.286 states/eV/atom
Magnetization = 0.000 μB/atom

3.
Below is a PBEsol-optimized structure of RbIn2Cl, with properties calculated at the SCAN level.

Cell: 7.998 7.998 7.998 Å, 90.00 90.00 90.00°
Sites, in units of the cell vectors:
Rb 0.000 0.000 0.000
Rb 0.000 0.500 0.500
Rb 0.500 0.000 0.500
Rb 0.500 0.500 0.000
In 0.250 0.250 0.250
In 0.250 0.250 0.750
In 0.250 0.750 0.250
In 0.250 0.750 0.750
In 0.750 0.250 0.250
In 0.750 0.250 0.750
In 0.750 0.750 0.250
In 0.750 0.750 0.750
Cl 0.000 0.000 0.500
Cl 0.000 0.500 0.000
Cl 0.500 0.000 0.000
Cl 0.500 0.500 0.500

## Properties
DOS at the Fermi energy = 1.024 states/eV/atom
Magnetization = 0.001 μB/atom
Energy relative to the elements, uncorrected = -0.107 eV per atom

4.
Below is a PBEsol-optimized structure of GaINO2, with properties calculated at the SCAN level.

Cell: 3.792 3.792 4.056 Å, 90.00 90.00 90.00°
Sites, in units of the cell vectors:
Ga 0.000 0.000 0.000
I 0.500 0.500 0.500
N 0.000 0.000 0.500
O 0.000 0.500 0.000
O 0.500 0.000 0.000

## Properties
DOS at the Fermi energy = 0.402 states/eV/atom
Magnetization = 0.000 μB/atom
Energy relative to the elements, uncorrected = 0.241 eV per atom

5.
Below is a PBEsol-optimized structure of CaHgIr2, with properties calculated at the SCAN level.

Cell: 2.861 4.772 5.209 Å, 90.00 96.75 90.00°
Sites, in units of the cell vectors:
Ca 0.000 0.000 0.000
Hg 0.500 0.000 0.500
Ir 0.315 0.500 0.726
Ir 0.685 0.500 0.274

## Properties
ΔH_f (0 K) = 0.175 eV/atom
DOS at the Fermi energy = 0.775 states/eV/atom
Magnetization = 0.000 μB/atom

6.
Below is a PBEsol-optimized structure of Tl2WO, with properties calculated at the SCAN level.

Cell: 6.645 6.645 6.645 Å, 90.00 90.00 90.00°
Sites, in units of the cell vectors:
Tl 0.250 0.250 0.250
Tl 0.250 0.250 0.750
Tl 0.250 0.750 0.250
Tl 0.250 0.750 0.750
Tl 0.750 0.250 0.250
Tl 0.750 0.250 0.750
Tl 0.750 0.750 0.250
Tl 0.750 0.750 0.750
W 0.000 0.000 0.000
W 0.000 0.500 0.500
W 0.500 0.000 0.500
W 0.500 0.500 0.000
O 0.000 0.000 0.500
O 0.000 0.500 0.000
O 0.500 0.000 0.000
O 0.500 0.500 0.500

## Properties
DOS at the Fermi energy = 0.517 states/eV/atom
Magnetization = 0.102 μB/atom
Energy relative to the elements, uncorrected = 1.308 eV per atom

7.
Below is a PBEsol-optimized structure of Rb3TeF, with properties calculated at the SCAN level.

Cell: 5.468 5.468 5.468 Å, 90.00 90.00 90.00°
Sites, in units of the cell vectors:
Rb 0.000 0.000 0.500
Rb 0.000 0.500 0.000
Rb 0.500 0.000 0.000
Te 0.500 0.500 0.500
F 0.000 0.000 0.000

## Properties
DOS at the Fermi energy = 0.000 states/eV/atom
Magnetization = 0.000 μB/atom
Energy relative to the elements, uncorrected = -1.875 eV per atom

8.
Below is a PBEsol-optimized structure of Hf2MgReAg, with properties calculated at the SCAN level.

Cell: 4.894 4.894 4.259 Å, 90.00 90.00 90.00°
Sites, in units of the cell vectors:
Hf 0.000 0.500 0.000
Hf 0.500 0.000 0.000
Mg 0.000 0.000 0.000
Re 0.500 0.500 0.500
Ag 0.000 0.000 0.500

## Properties
ΔH_f (0 K) = 1.628 eV/atom
DOS at the Fermi energy = 0.616 states/eV/atom
Magnetization = 0.000 μB/atom

9.
Below is a PBEsol-optimized structure of MgAgSe2, with properties calculated at the SCAN level.

Cell: 3.847 3.847 5.401 Å, 90.00 90.00 90.00°
Sites, in units of the cell vectors:
Mg 0.000 0.000 0.000
Ag 0.500 0.500 0.500
Se 0.000 0.000 0.500
Se 0.500 0.500 0.000

## Properties
DOS at the Fermi energy = 0.321 states/eV/atom
Magnetization = 0.000 μB/atom
Energy relative to the elements, uncorrected = -0.732 eV per atom

10.
Below is a PBEsol-optimized structure of Na2ErMoPO8, with properties calculated at the SCAN level.

Cell: 11.306 11.306 11.306 Å, 144.92 116.15 74.98°
Sites, in units of the cell vectors:
Na 0.098 0.663 0.453
Na 0.210 0.163 0.064
Na 0.290 0.354 0.953
Na 0.402 0.854 0.564
Na 0.598 0.146 0.436
Na 0.710 0.646 0.047
Na 0.790 0.837 0.936
Na 0.902 0.337 0.547
Er 0.180 0.750 0.930
Er 0.320 0.250 0.570
Er 0.680 0.750 0.430
Er 0.820 0.250 0.070
Mo 0.074 0.824 0.250
Mo 0.426 0.676 0.750
Mo 0.574 0.324 0.250
Mo 0.926 0.176 0.750
P 0.067 0.250 0.317
P 0.433 0.750 0.183
P 0.567 0.250 0.817
P 0.933 0.750 0.683
O 0.059 0.328 0.250
O 0.079 0.828 0.770
O 0.101 0.193 0.833
O 0.108 0.668 0.016
O 0.140 0.733 0.333
O 0.141 0.420 0.575
O 0.152 0.092 0.484
O 0.155 0.080 0.221
O 0.345 0.566 0.925
O 0.348 0.832 0.940
O 0.359 0.934 0.279
O 0.360 0.693 0.593
O 0.392 0.408 0.560
O 0.399 0.233 0.093
O 0.421 0.191 0.750
O 0.441 0.691 0.270
O 0.559 0.309 0.730
O 0.579 0.809 0.250
O 0.601 0.767 0.907
O 0.608 0.592 0.440
O 0.640 0.307 0.407
O 0.641 0.066 0.721
O 0.652 0.168 0.060
O 0.655 0.434 0.075
O 0.845 0.920 0.779
O 0.848 0.908 0.516
O 0.859 0.580 0.425
O 0.860 0.267 0.667
O 0.892 0.332 0.984
O 0.899 0.807 0.167
O 0.921 0.172 0.230
O 0.941 0.672 0.750

## Properties
DOS at the Fermi energy = 0.000 states/eV/atom
Magnetization = 0.000 μB/atom
Energy relative to the elements, uncorrected = -2.751 eV per atom

11.
Below is a PBEsol-optimized structure of CoIr2Rh, with properties calculated at the SCAN level.

Cell: 5.981 5.981 5.981 Å, 90.00 90.00 90.00°
Sites, in units of the cell vectors:
Co 0.000 0.000 0.000
Co 0.000 0.500 0.500
Co 0.500 0.000 0.500
Co 0.500 0.500 0.000
Ir 0.250 0.250 0.250
Ir 0.250 0.250 0.750
Ir 0.250 0.750 0.250
Ir 0.250 0.750 0.750
Ir 0.750 0.250 0.250
Ir 0.750 0.250 0.750
Ir 0.750 0.750 0.250
Ir 0.750 0.750 0.750
Rh 0.000 0.000 0.500
Rh 0.000 0.500 0.000
Rh 0.500 0.000 0.000
Rh 0.500 0.500 0.500

## Properties
ΔH_f (0 K) = 0.302 eV/atom
DOS at the Fermi energy = 0.782 states/eV/atom
ΔE to the lowest computed polymorph = 0.331 eV/atom
Magnetization = 0.568 μB/atom

12.
Below is a PBEsol-optimized structure of Hg3OsBr, with properties calculated at the SCAN level.

Cell: 5.368 5.368 5.368 Å, 90.00 90.00 90.00°
Sites, in units of the cell vectors:
Hg 0.000 0.000 0.500
Hg 0.000 0.500 0.000
Hg 0.500 0.000 0.000
Os 0.500 0.500 0.500
Br 0.000 0.000 0.000

## Properties
DOS at the Fermi energy = 1.504 states/eV/atom
Magnetization = 0.660 μB/atom
Energy relative to the elements, uncorrected = 1.880 eV per atom